Compound: AcHoCr2O8
Source: Alexandria
Functional: GGA+U
Structure: optimized geometry

Geometry as POSCAR:
```
AcHoCr2O8
1.0
5.654 0.000 0.000
-2.827 4.896 0.000
0.000 0.000 7.284
O Ac Cr Ho
8 1 2 1
Direct
0.327 0.164 0.286
0.836 0.163 0.286
0.673 0.836 0.714
0.837 0.673 0.286
0.667 0.333 0.984
0.163 0.327 0.714
0.164 0.837 0.714
0.333 0.667 0.016
0.000 0.000 0.000
0.333 0.667 0.786
0.667 0.333 0.214
0.000 0.000 0.500
```

Summary:
**VASP energy**: -7.5057 eV/atom